Entry from Alexandria: a relaxed NdGaF6 crystal (PBE).

Cell: 4.723 4.723 4.935 Å, 96.17 96.17 106.10°
Fractional coordinates of all 8 atoms:
Nd: 0.000 0.000 0.000
F: 0.514 0.180 0.227
F: 0.784 0.784 0.353
F: 0.216 0.216 0.647
F: 0.486 0.820 0.773
F: 0.820 0.486 0.773
F: 0.180 0.514 0.227
Ga: 0.500 0.500 0.500

Properties
**Spin magnetization**: 0.00 Bohr magnetons per cell
**E_form (uncorrected)**: -3.270 eV per atom
**Uncorrected energy**: -5.648 eV per atom